Computed, not measured: LaIr2Pb after structural relaxation at the GGA-PBE level of DFT.

Output
Formation energy from the elements ... 474 meV per atom
Density of states at the Fermi level ... 5.1 states/eV per cell
Total energy ... -6.12 eV/atom
Calculated volume ... 85.9 Å³ per cell

Structure (CIF):
```
data_LaIr2Pb
_cell_length_a 10.0345
_cell_length_b 10.0345
_cell_length_c 10.0345
_cell_angle_alpha 18.18
_cell_angle_beta 18.18
_cell_angle_gamma 18.18
_space_group_name_H-M_alt 'P 1'
_space_group_IT_number 1
_space_group_name_Hall 'P 1'
loop_
_atom_site_label
_atom_site_type_symbol
_atom_site_fract_x
_atom_site_fract_y
_atom_site_fract_z
La1 La 0.0000 0.0000 0.0000
Ir1 Ir 0.2470 0.2470 0.2470
Ir2 Ir 0.5154 0.5154 0.5154
Pb1 Pb 0.7717 0.7717 0.7717
```